No. 1
VASP calculation (PBE-GGA) on CaCeYEr after structural relaxation.

Summary:
Formation enthalpy at 0 K: 236 meV/atom
VASP energy: -18.0 eV for the cell shown

a = 5.751 Å, b = 5.751 Å, c = 5.751 Å
α = 60.00°, β = 60.00°, γ = 60.00°
Last column: magnetic moment on the atom in μB.
Fractional positions:
Ca 0.500 0.500 0.500  0.03
Y 0.750 0.750 0.750  0.14
Ce 0.000 0.000 0.000  1.01
Er 0.250 0.250 0.250  0.19

No. 2
VASP calculation (PBE-GGA) on KRb2TlO after structural relaxation.

Summary:
VASP energy: -12.5 eV for the cell shown

a = 5.824 Å, b = 5.824 Å, c = 5.461 Å
α = 90.00°, β = 90.00°, γ = 90.00°
Last column: magnetic moment on the atom in μB.
Fractional positions:
Rb 0.000 0.500 0.000  0.01
Tl 0.500 0.500 0.500  0.13
K 0.000 0.000 0.500  0.01
O 0.000 0.000 0.000  0.10
Rb 0.500 0.000 0.000  0.01

No. 3
VASP calculation (PBE-GGA) on NbTeBr2 after structural relaxation.

Summary:
Excess energy over the best structure of this formula in the dataset: 1.039 eV/atom
VASP energy: -14.5 eV for the cell shown

a = 5.053 Å, b = 5.053 Å, c = 5.053 Å
α = 60.00°, β = 60.00°, γ = 60.00°
Last column: magnetic moment on the atom in μB.
Fractional positions:
Br 0.750 0.750 0.750  -0.08
Te 0.500 0.500 0.500  -0.24
Br 0.250 0.250 0.250  -0.08
Nb 0.000 0.000 0.000  1.15

No. 4
VASP calculation (PBE-GGA) on TbNdO after structural relaxation.

Summary:
Excess energy over the best structure of this formula in the dataset: 0.000 eV/atom
VASP energy: -79.4 eV for the cell shown

a = 6.742 Å, b = 6.864 Å, c = 7.094 Å
α = 111.87°, β = 90.00°, γ = 90.00°
Fractional positions:
Nd 0.831 0.134 0.388
Tb 0.164 0.368 0.095
Nd 0.669 0.634 0.388
O 0.338 0.085 0.907
O 0.162 0.585 0.907
O 0.838 0.415 0.093
O 0.662 0.915 0.093
Tb 0.336 0.868 0.095
Tb 0.664 0.132 0.905
Nd 0.169 0.866 0.612
Tb 0.836 0.632 0.905
Nd 0.331 0.366 0.612

No. 5
VASP calculation (PBE-GGA) on LaMoBr3 after structural relaxation.

Summary:
Excess energy over the best structure of this formula in the dataset: 0.000 eV/atom
VASP energy: -22.4 eV for the cell shown

a = 5.878 Å, b = 5.878 Å, c = 5.878 Å
α = 90.00°, β = 90.00°, γ = 90.00°
Last column: magnetic moment on the atom in μB.
Fractional positions:
Br 0.000 0.500 0.000  0.04
Br 0.000 0.000 0.500  0.03
Br 0.500 0.000 0.000  0.03
Mo 0.500 0.500 0.500  4.23
La 0.000 0.000 0.000  0.05

No. 6
VASP calculation (PBE-GGA) on ZrCu2Sb after structural relaxation.

Summary:
VASP energy: -21.1 eV for the cell shown

a = 3.241 Å, b = 3.241 Å, c = 6.809 Å
α = 90.00°, β = 90.00°, γ = 94.72°
Fractional positions:
Zr 0.500 0.500 0.783
Sb 0.000 0.000 0.469
Cu 0.500 0.500 0.207
Cu 0.000 0.000 0.041

No. 7
VASP calculation (PBE-GGA) on ReBN2F after structural relaxation.

Summary:
Excess energy over the best structure of this formula in the dataset: 0.000 eV/atom
VASP energy: -33.5 eV for the cell shown

a = 3.680 Å, b = 3.680 Å, c = 2.952 Å
α = 90.00°, β = 90.00°, γ = 90.00°
Last column: magnetic moment on the atom in μB.
Fractional positions:
Re 0.500 0.500 0.500  1.08
F 0.000 0.000 0.500  0.04
N 0.000 0.500 0.000  -0.04
N 0.500 0.000 0.000  -0.04
B 0.000 0.000 0.000  0.02

No. 8
VASP calculation (PBE-GGA) on YInRh2 after structural relaxation.

Summary:
Formation enthalpy at 0 K: -575 meV/atom
VASP energy: -26.2 eV for the cell shown

a = 4.413 Å, b = 3.358 Å, c = 5.451 Å
α = 72.18°, β = 90.00°, γ = 90.00°
Fractional positions:
Rh 0.000 0.210 0.952
Rh 0.500 0.044 0.290
In 0.500 0.769 0.835
Y 0.000 0.477 0.423

No. 9
VASP calculation (PBE-GGA) on Ho5Th5Sc2 after structural relaxation.

Summary:
Formation enthalpy at 0 K: 83 meV/atom
Excess energy over the best structure of this formula in the dataset: 0.029 eV/atom
VASP energy: -71.7 eV for the cell shown

a = 5.550 Å, b = 6.526 Å, c = 11.871 Å
α = 106.88°, β = 90.00°, γ = 115.16°
Fractional positions:
Ho 0.542 0.084 0.214
Th 0.800 0.600 0.464
Ho 0.294 0.587 0.959
Th 0.000 0.000 0.000
Ho 0.500 0.000 0.500
Sc 0.047 0.094 0.715
Ho 0.458 0.916 0.786
Th 0.200 0.400 0.536
Th 0.249 0.499 0.247
Ho 0.706 0.413 0.041
Th 0.751 0.501 0.753
Sc 0.953 0.906 0.285

No. 10
VASP calculation (PBE-GGA) on Tc2TeIr after structural relaxation.

Summary:
VASP energy: -31.5 eV for the cell shown

a = 4.932 Å, b = 4.932 Å, c = 4.703 Å
α = 84.02°, β = 84.02°, γ = 35.16°
Fractional positions:
Te 0.496 0.496 0.505
Tc 0.732 0.732 0.771
Ir 0.268 0.268 0.223
Tc 0.005 0.005 0.001

No. 11
VASP calculation (PBE-GGA) on ScTi2Tl after structural relaxation.

Summary:
Formation enthalpy at 0 K: 456 meV/atom
VASP energy: -45.3 eV for the cell shown

a = 7.756 Å, b = 7.756 Å, c = 6.192 Å
α = 51.22°, β = 51.22°, γ = 90.00°
Last column: magnetic moment on the atom in μB.
Fractional positions:
Ti 0.635 0.125 0.250  0.53
Sc 0.500 0.500 0.000  0.24
Sc 0.250 0.750 0.500  0.24
Tl 0.000 0.000 0.000  0.00
Tl 0.750 0.250 0.500  0.00
Ti 0.375 0.365 0.750  0.55
Ti 0.115 0.625 0.250  0.51
Ti 0.875 0.885 0.750  0.54

No. 12
VASP calculation (PBE-GGA) on Nd2HoTmSc4 after structural relaxation.

Summary:
Formation enthalpy at 0 K: 65 meV/atom
VASP energy: -43.4 eV for the cell shown

a = 3.445 Å, b = 5.955 Å, c = 11.198 Å
α = 79.88°, β = 90.00°, γ = 90.00°
Fractional positions:
Sc 0.500 0.252 0.749
Tm 0.000 0.500 0.500
Sc 0.500 0.748 0.251
Nd 0.000 0.000 0.000
Sc 0.000 0.749 0.750
Sc 0.000 0.251 0.250
Ho 0.500 0.500 0.000
Nd 0.500 0.000 0.500

No. 13
VASP calculation (PBE-GGA) on Ac2BePb after structural relaxation.

Summary:
Formation enthalpy at 0 K: 14 meV/atom
Excess energy over the best structure of this formula in the dataset: 0.000 eV/atom
VASP energy: -15.6 eV for the cell shown

a = 5.674 Å, b = 5.674 Å, c = 5.674 Å
α = 60.00°, β = 60.00°, γ = 60.00°
Fractional positions:
Ac 0.750 0.750 0.750
Be 0.500 0.500 0.500
Pb 0.000 0.000 0.000
Ac 0.250 0.250 0.250

No. 14
VASP calculation (PBE-GGA) on Fe2TcGeH after structural relaxation.

Summary:
VASP energy: -35.2 eV for the cell shown

a = 3.725 Å, b = 3.725 Å, c = 3.933 Å
α = 90.00°, β = 90.00°, γ = 90.00°
Last column: magnetic moment on the atom in μB.
Fractional positions:
Ge 0.500 0.500 0.500  -0.06
H 0.000 0.000 0.000  -0.01
Tc 0.000 0.000 0.500  0.46
Fe 0.000 0.500 0.000  2.34
Fe 0.500 0.000 0.000  2.34

No. 15
VASP calculation (PBE-GGA) on TcWAu3 after structural relaxation.

Summary:
Formation enthalpy at 0 K: 1759 meV/atom
Excess energy over the best structure of this formula in the dataset: 0.000 eV/atom
VASP energy: -24.4 eV for the cell shown

a = 5.019 Å, b = 5.019 Å, c = 5.019 Å
α = 90.00°, β = 90.00°, γ = 90.00°
Last column: magnetic moment on the atom in μB.
Fractional positions:
Au 0.000 0.500 0.000  0.00
Tc 0.500 0.500 0.500  3.67
W 0.000 0.000 0.000  -0.16
Au 0.500 0.000 0.000  0.01
Au 0.000 0.000 0.500  0.00

No. 16
VASP calculation (PBE-GGA) on Li2MgH4Pd2 after structural relaxation.

Summary:
VASP energy: -32.2 eV for the cell shown

a = 2.972 Å, b = 7.142 Å, c = 4.740 Å
α = 94.69°, β = 90.00°, γ = 102.01°
Fractional positions:
Pd 0.662 0.325 0.066
H 0.574 0.148 0.772
Mg 0.000 0.000 0.000
Pd 0.338 0.675 0.934
Li 0.838 0.677 0.408
H 0.426 0.852 0.228
Li 0.162 0.323 0.592
H 0.218 0.435 0.231
H 0.782 0.565 0.769

No. 17
VASP calculation (PBE-GGA) on ReBiPbO6 after structural relaxation.

Summary:
VASP energy: -62.1 eV for the cell shown

a = 5.704 Å, b = 5.704 Å, c = 5.122 Å
α = 90.00°, β = 90.00°, γ = 60.00°
Fractional positions:
O 0.605 0.052 0.287
Bi 0.667 0.667 0.500
Re 0.333 0.333 0.500
O 0.343 0.605 0.287
O 0.052 0.605 0.713
Pb 0.000 0.000 0.000
O 0.343 0.052 0.713
O 0.605 0.343 0.713
O 0.052 0.343 0.287

No. 18
VASP calculation (PBE-GGA) on MoOsRh2 after structural relaxation.

Summary:
Formation enthalpy at 0 K: 20 meV/atom
Excess energy over the best structure of this formula in the dataset: 0.209 eV/atom
VASP energy: -36.7 eV for the cell shown

a = 9.109 Å, b = 9.109 Å, c = 9.109 Å
α = 17.29°, β = 17.29°, γ = 17.29°
Fractional positions:
Rh 0.999 0.999 0.999
Os 0.250 0.250 0.250
Rh 0.501 0.501 0.501
Mo 0.750 0.750 0.750

No. 19
VASP calculation (PBE-GGA) on SiTcSn2B after structural relaxation.

Summary:
VASP energy: -24.5 eV for the cell shown

a = 5.435 Å, b = 3.562 Å, c = 5.435 Å
α = 90.00°, β = 90.00°, γ = 90.00°
Last column: magnetic moment on the atom in μB.
Fractional positions:
Tc 0.500 0.500 0.500  2.51
B 0.000 0.500 0.000  0.00
Sn 0.500 0.000 0.000  -0.06
Si 0.000 0.000 0.000  0.01
Sn 0.000 0.000 0.500  -0.05

No. 20
VASP calculation (PBE-GGA) on RbNa2Ga2 after structural relaxation.

Summary:
Formation enthalpy at 0 K: 55 meV/atom
Excess energy over the best structure of this formula in the dataset: 0.000 eV/atom
VASP energy: -18.8 eV for the cell shown

a = 9.129 Å, b = 9.129 Å, c = 3.688 Å
α = 90.00°, β = 90.00°, γ = 90.00°
Fractional positions:
Na 0.818 0.318 0.500
Rb 0.000 0.000 0.000
Ga 0.599 0.099 0.000
Na 0.682 0.818 0.500
Rb 0.500 0.500 0.000
Ga 0.099 0.401 0.000
Ga 0.401 0.901 0.000
Na 0.318 0.182 0.500
Ga 0.901 0.599 0.000
Na 0.182 0.682 0.500